9
Lattice="-0.091 -0.648 -2.744 6.793 1.496 -2.312 0.806 -7.734 2.740" Properties=species:S:1:pos:R:3 comment="Ta6Nb2Re, optimized geometry, DFT PBE" vol_a3_per_fu=162.0 e_form_ev_per_fu=0.1 spacegroup="P-1 (2)" e_above_lowest_polymorph_kj_per_mol_atoms=0.0 pbc="T T T"
Re 0.000 0.000 0.000
Ta 6.960 -1.545 -3.667
Ta 2.380 -1.293 -0.597
Ta 2.929 -6.703 0.556
Ta 5.129 -5.593 -1.719
Ta 4.580 -0.182 -2.872
Ta 0.549 -5.341 1.351
Nb 2.665 -4.142 -0.489
Nb 4.843 -2.744 -1.827



8
Lattice="-3.022 2.866 -5.921 -5.831 -4.183 0.951 -5.569 1.281 -0.963" Properties=species:S:1:pos:R:3 comment="TaNbRe2, optimized geometry, DFT PBE" vol_a3_per_fu=71.2 e_form_ev_per_fu=2.7 spacegroup="I-42d (122)" pbc="T T T"
Ta -6.509 1.744 -4.685
Ta 0.000 0.000 0.000
Re -5.416 -1.935 -0.389
Re -11.921 -0.191 -5.072
Re -4.009 1.588 -3.821
Re -7.499 0.465 -2.586
Nb -7.913 -1.781 -1.249
Nb -4.426 -0.659 -2.485



18
Lattice="-0.335 -7.548 0.065 5.209 2.302 4.967 -6.674 2.963 1.942" Properties=species:S:1:pos:R:3 comment="TaNb6Re2, optimized geometry, DFT PBE" vol_a3_per_fu=166.0 e_form_ev_per_fu=1.6 spacegroup="Immm (71)" e_above_lowest_polymorph_kj_per_mol_atoms=37.0 pbc="T T T"
Nb -1.747 0.391 2.100
Nb 0.031 -2.403 1.837
Nb -2.615 -2.573 3.471
Nb 0.814 0.289 3.503
Nb -1.832 0.118 5.137
Nb 2.105 -4.635 3.978
Nb -3.906 2.351 2.995
Nb -2.076 -4.509 0.930
Nb 0.689 -5.344 1.371
Nb -0.054 -2.675 4.874
Nb -2.490 3.060 5.602
Nb 0.275 2.225 6.044
Ta 0.000 0.000 0.000
Ta -0.733 2.632 3.454
Re -4.533 -2.966 1.298
Re -4.017 -0.452 3.420
Re 2.216 -1.832 3.554
Re -2.476 -1.620 0.709



8
Lattice="7.405 0.000 0.000 0.000 7.405 0.000 3.703 3.703 2.749" Properties=species:S:1:pos:R:3 comment="TaNb2Re, optimized geometry, DFT PBE" vol_a3_per_fu=75.4 e_form_ev_per_fu=2.3 spacegroup="I-42d (122)" e_above_lowest_polymorph_kj_per_mol_atoms=79.0 pbc="T T T"
Nb 9.256 9.437 2.062
Nb 5.734 1.851 0.687
Nb 1.671 5.554 0.687
Nb 5.554 5.374 2.062
Re 0.000 0.000 0.000
Re 7.405 3.703 1.375
Ta 3.703 7.405 1.375
Ta 3.703 3.703 0.000



4
Lattice="3.237 0.000 0.000 0.000 3.237 0.000 0.000 0.000 6.583" Properties=species:S:1:pos:R:3 comment="TaNb2Re, optimized geometry, DFT PBE" vol_a3_per_fu=69.0 e_form_ev_per_fu=-0.8 spacegroup="P4/mmm (123)" e_above_lowest_polymorph_kj_per_mol_atoms=4.5 pbc="T T T"
Ta 1.619 1.619 3.292
Nb 0.000 0.000 1.588
Nb 0.000 0.000 4.995
Re 1.619 1.619 0.000



16
Lattice="5.717 0.197 0.000 -2.060 5.337 0.000 0.000 0.000 9.331" Properties=species:S:1:pos:R:3 comment="Ta14NbRe, optimized geometry, DFT PBE" vol_a3_per_fu=288.5 e_form_ev_per_fu=-0.9 spacegroup="Cmmm (65)" pbc="T T T"
Ta 3.701 3.486 6.923
Ta 0.847 3.416 2.305
Ta 1.901 0.763 6.923
Ta 1.771 4.793 0.000
Ta 0.847 3.416 7.026
Ta 4.755 0.833 2.305
Ta 2.800 2.125 0.000
Ta -1.088 4.695 0.000
Ta -0.057 2.026 4.666
Ta -0.058 2.026 0.000
Ta 4.755 0.833 7.026
Ta 1.772 4.793 4.666
Ta 1.901 0.763 2.408
Ta 3.701 3.486 2.408
Nb -1.087 4.694 4.666
Re 2.801 2.124 4.666



16
Lattice="-3.369 -2.314 -3.640 4.167 -3.186 -1.832 -2.288 -6.636 6.335" Properties=species:S:1:pos:R:3 comment="Ta3Nb4Re, optimized geometry, DFT PBE" vol_a3_per_fu=143.8 e_form_ev_per_fu=0.3 spacegroup="Pmn2_1 (31)" e_above_lowest_polymorph_kj_per_mol_atoms=13.4 pbc="T T T"
Nb 0.878 -5.548 -1.990
Nb 2.896 -3.717 -2.847
Nb -0.274 -8.888 1.199
Nb -3.629 -5.366 0.125
Nb -0.022 -2.444 0.985
Nb -1.158 -5.739 4.130
Nb -1.548 -6.946 -0.778
Nb 0.830 -2.126 -1.928
Ta -2.491 -2.045 -3.042
Ta -1.203 -3.975 -1.062
Ta -2.345 -7.285 2.098
Ta 0.913 -7.342 3.232
Ta 2.060 -4.016 0.057
Ta 1.755 -7.039 0.316
Re -0.312 -5.465 1.219
Re -0.432 -3.625 -3.953



12
Lattice="-4.242 1.860 -1.907 -3.835 -3.187 0.478 -2.052 3.697 8.170" Properties=species:S:1:pos:R:3 comment="TaNb4Re, optimized geometry, DFT PBE" vol_a3_per_fu=106.9 e_form_ev_per_fu=0.1 spacegroup="C2/c (15)" e_above_lowest_polymorph_kj_per_mol_atoms=0.0 pbc="T T T"
Ta -3.147 2.778 3.131
Ta -1.917 -1.593 0.239
Nb -4.607 -2.051 -0.220
Nb -5.938 0.030 1.083
Nb -3.165 0.487 1.575
Nb -6.964 1.883 5.166
Nb -5.839 2.359 2.654
Nb -5.522 4.421 6.961
Nb -4.290 0.011 4.087
Nb -4.191 2.339 5.658
Re -4.754 2.776 0.139
Re -5.375 -0.406 6.602



11
Lattice="-0.390 -1.572 2.536 7.278 1.010 1.745 -2.020 7.531 4.358" Properties=species:S:1:pos:R:3 comment="Ta4Nb5Re2, optimized geometry, DFT PBE" vol_a3_per_fu=203.0 e_form_ev_per_fu=2.3 spacegroup="P2/m (10)" pbc="T T T"
Ta 0.778 3.037 3.788
Ta 4.090 3.932 4.851
Ta -0.685 5.925 5.353
Ta 5.553 1.044 3.286
Nb 1.965 5.679 3.822
Nb 3.639 0.505 0.872
Nb 1.056 1.359 1.005
Nb 3.292 2.863 2.281
Nb 4.201 7.182 5.098
Re -0.966 4.910 2.895
Re 6.224 3.631 3.208



12
Lattice="4.460 0.002 -0.930 -0.003 6.428 -0.001 -0.833 0.000 7.146" Properties=species:S:1:pos:R:3 comment="Ta6NbRe5, optimized geometry, DFT PBE" vol_a3_per_fu=199.9 e_form_ev_per_fu=-4.4 spacegroup="Cmmm (65)" pbc="T T T"
Ta 0.467 4.815 2.244
Ta 2.228 4.806 -0.466
Ta 3.155 4.816 3.970
Ta 0.469 1.614 2.245
Ta 3.157 1.615 3.970
Ta 1.396 1.624 6.680
Re 0.928 3.215 4.444
Re 2.695 0.001 1.761
Re 2.696 3.215 1.771
Re 0.929 6.429 4.453
Re -0.001 3.214 0.000
Nb 0.000 0.000 0.000



6
Lattice="5.201 0.000 0.000 2.601 4.504 0.000 2.601 1.501 4.247" Properties=species:S:1:pos:R:3 comment="TaNbRe4, optimized geometry, DFT PBE" vol_a3_per_fu=99.5 e_form_ev_per_fu=-0.5 spacegroup="F-43m (216)" pbc="T T T"
Re 5.201 3.003 0.528
Re 5.201 1.499 2.655
Re 6.503 3.755 2.655
Re 3.899 3.755 2.655
Ta 0.000 0.000 0.000
Nb 2.601 1.501 1.062



10
Lattice="-3.907 -3.722 -2.042 1.661 -5.216 -1.822 -1.640 -5.400 4.830" Properties=species:S:1:pos:R:3 comment="Ta3NbRe, optimized geometry, DFT PBE" vol_a3_per_fu=95.7 e_form_ev_per_fu=2.4 spacegroup="R-3m (166)" e_above_lowest_polymorph_kj_per_mol_atoms=63.1 pbc="T T T"
Ta -0.553 -7.881 -0.879
Ta -1.402 -5.215 0.053
Ta -2.484 -9.122 0.913
Ta -0.487 -7.220 1.957
Ta -3.333 -6.457 1.845
Ta -3.399 -7.118 -0.991
Re -2.385 -8.368 3.514
Re -1.501 -5.969 -2.548
Nb -2.476 -9.563 -2.284
Nb -1.410 -4.775 3.250



9
Lattice="4.461 0.000 -0.173 0.000 6.326 0.000 -1.970 -3.163 6.770" Properties=species:S:1:pos:R:3 comment="Ta2Nb6Re, optimized geometry, DFT PBE" vol_a3_per_fu=188.9 e_form_ev_per_fu=6.3 spacegroup="Immm (71)" e_above_lowest_polymorph_kj_per_mol_atoms=66.6 pbc="T T T"
Ta 2.316 3.163 2.128
Ta 0.176 0.000 4.469
Re 0.000 0.000 0.000
Nb 0.085 1.556 2.191
Nb 2.407 -1.607 4.407
Nb 0.085 4.770 2.191
Nb 2.407 1.607 4.407
Nb 2.231 1.543 -0.086
Nb 2.231 4.784 -0.086



9
Lattice="3.161 0.000 -0.680 -0.475 6.951 -2.208 -0.118 -0.045 7.133" Properties=species:S:1:pos:R:3 comment="Ta3Nb4Re2, optimized geometry, DFT PBE" vol_a3_per_fu=155.8 e_form_ev_per_fu=-1.5 spacegroup="C2/m (12)" pbc="T T T"
Nb 2.079 4.669 1.977
Nb 0.488 2.237 2.267
Nb 0.980 4.609 4.553
Nb 1.587 2.297 -0.308
Re 1.601 6.935 -0.246
Re 0.967 -0.029 4.490
Ta 0.007 4.695 0.034
Ta 0.000 0.000 0.000
Ta 2.560 2.211 4.210



10
Lattice="5.073 -0.180 -1.164 -2.288 4.531 -1.164 0.308 0.482 8.176" Properties=species:S:1:pos:R:3 comment="Ta2Nb2Re, optimized geometry, DFT PBE" vol_a3_per_fu=95.2 e_form_ev_per_fu=1.4 spacegroup="C2/m (12)" e_above_lowest_polymorph_kj_per_mol_atoms=0.0 pbc="T T T"
Ta 2.294 3.584 2.306
Ta 2.307 3.604 -0.852
Ta 0.800 1.250 3.542
Ta 0.786 1.229 6.700
Nb 0.710 3.805 4.528
Nb 2.383 1.028 1.320
Nb 3.158 2.239 4.528
Nb -0.065 2.595 1.320
Re 3.233 0.998 -1.164
Re -0.448 3.354 -1.164



3
Lattice="-1.663 2.385 -1.381 1.329 -0.720 -2.842 -3.522 -3.947 1.175" Properties=species:S:1:pos:R:3 comment="TaNbRe, optimized geometry, DFT PBE" vol_a3_per_fu=50.9 e_form_ev_per_fu=-0.9 spacegroup="I4mm (107)" e_above_lowest_polymorph_kj_per_mol_atoms=0.0 pbc="T T T"
Ta -3.444 -1.934 -2.944
Nb -1.066 0.073 -2.340
Re -2.093 -1.767 -0.531



12
Lattice="-3.383 2.994 -1.165 0.205 -2.187 -6.215 -3.207 -5.224 5.228" Properties=species:S:1:pos:R:3 comment="Ta6Nb5Re, optimized geometry, DFT PBE" vol_a3_per_fu=214.4 e_form_ev_per_fu=-1.1 spacegroup="Immm (71)" pbc="T T T"
Nb -3.211 -3.227 1.030
Nb -3.078 -4.290 -2.088
Nb -3.308 -0.128 -0.064
Nb 0.102 -1.094 -3.108
Nb -3.175 -1.190 -3.182
Ta -4.973 -1.195 2.031
Ta -1.412 -3.223 -4.183
Ta -1.536 -0.161 -5.293
Ta -4.869 -2.305 -1.124
Ta -1.642 0.967 -2.087
Ta -1.516 -2.113 -1.028
Re 0.000 0.000 0.000



11
Lattice="-2.582 -1.829 4.321 5.716 -3.648 3.629 5.229 1.381 5.468" Properties=species:S:1:pos:R:3 comment="Ta8Nb2Re, optimized geometry, DFT PBE" vol_a3_per_fu=203.4 e_form_ev_per_fu=0.9 spacegroup="C2/m (12)" pbc="T T T"
Re 0.000 0.000 0.000
Nb 1.884 -1.727 5.222
Nb 6.479 -2.369 8.196
Ta 8.453 -3.025 10.513
Ta 4.804 -1.601 5.651
Ta 3.403 0.356 3.839
Ta 3.645 -2.146 2.924
Ta 4.719 -1.949 10.494
Ta 3.559 -2.495 7.768
Ta -0.090 -1.071 2.905
Ta 4.961 -4.452 9.579



7
Lattice="-3.267 -2.574 -1.865 2.762 -0.977 -3.491 2.223 -5.138 3.196" Properties=species:S:1:pos:R:3 comment="Ta5NbRe, optimized geometry, DFT PBE" vol_a3_per_fu=133.9 e_form_ev_per_fu=1.3 spacegroup="P4/mmm (123)" pbc="T T T"
Ta -1.048 -2.641 -0.090
Ta 3.018 -4.272 0.608
Ta -0.252 -1.775 -2.678
Ta 1.967 -1.843 -0.903
Ta 0.003 -5.070 1.421
Re 1.111 -2.569 1.598
Nb 0.000 0.000 0.000



12
Lattice="4.618 0.000 0.843 2.309 4.909 0.421 2.974 0.000 9.834" Properties=species:S:1:pos:R:3 comment="Ta3Nb2Re, optimized geometry, DFT PBE" vol_a3_per_fu=105.3 e_form_ev_per_fu=-0.7 spacegroup="Cmmm (65)" e_above_lowest_polymorph_kj_per_mol_atoms=5.1 pbc="T T T"
Nb 3.796 3.275 5.339
Nb 6.105 1.635 5.760
Nb 0.000 0.000 0.000
Nb 3.796 0.000 5.339
Ta 5.675 0.000 8.103
Ta 4.221 1.661 3.024
Ta 5.680 3.248 8.075
Ta 1.917 0.000 2.574
Ta 6.530 3.248 3.445
Ta 3.371 1.661 7.653
Re 2.309 1.658 0.421
Re 4.618 3.251 0.843



7
Lattice="-0.335 2.842 -0.130 2.583 1.636 6.401 6.708 2.838 0.654" Properties=species:S:1:pos:R:3 comment="Ta2Nb4Re, optimized geometry, DFT PBE" vol_a3_per_fu=123.5 e_form_ev_per_fu=-0.7 spacegroup="P-1 (2)" e_above_lowest_polymorph_kj_per_mol_atoms=0.0 pbc="T T T"
Nb 4.644 2.775 4.845
Nb 2.180 3.406 3.685
Nb 6.776 3.910 3.240
Nb 4.311 4.542 2.080
Ta 6.852 5.056 5.910
Ta 2.104 2.261 1.015
Re 0.000 0.000 0.000



5
Lattice="3.140 0.000 0.000 0.000 3.085 0.584 0.000 -0.116 9.044" Properties=species:S:1:pos:R:3 comment="TaNb2Re2, optimized geometry, DFT PBE" vol_a3_per_fu=87.8 e_form_ev_per_fu=0.1 spacegroup="Cmmm (65)" e_above_lowest_polymorph_kj_per_mol_atoms=0.0 pbc="T T T"
Re 1.570 1.728 7.747
Re 1.570 1.241 1.882
Nb 0.000 2.479 3.778
Nb 0.000 0.489 5.850
Ta 0.000 0.000 0.000



4
Lattice="-4.543 -0.089 0.689 -2.771 2.575 -2.610 -2.754 -1.995 -3.090" Properties=species:S:1:pos:R:3 comment="TaNb2Re, optimized geometry, DFT PBE" vol_a3_per_fu=68.6 e_form_ev_per_fu=-0.7 spacegroup="Fm-3m (225)" e_above_lowest_polymorph_kj_per_mol_atoms=6.2 pbc="T T T"
Re -5.034 0.245 -2.505
Nb -2.517 0.123 -1.253
Nb -7.551 0.368 -3.758
Ta 0.000 0.000 0.000